Compound: CrIn2Te
Source: Alexandria
Functional: GGA-PBE
Structure: optimized geometry

abc: 4.416 4.870 6.550
angles: 53.07 90.00 90.00
Each line ends with the local moment (μB).
Sites, in units of the cell vectors:
Te 0.500 0.250 0.250  -0.03
Cr 0.500 0.750 0.750  3.61
In 0.000 0.870 0.984  0.00
In 0.000 0.630 0.516  0.00

Computed properties:
Formation energy from raw total energies: 0.2836 eV/atom
Mass density: 6.03 g cm⁻³
Total moment: 4.04 μB per cell